# 1
DFT (PBE) results for a geometry-optimized RbSrAs2 structure.

a = 5.557 Å, b = 5.557 Å, c = 5.557 Å
α = 60.00°, β = 60.00°, γ = 60.00°
Atoms (fractional coordinates):
Rb: 0.000 0.000 0.000
As: 0.750 0.750 0.750
As: 0.250 0.250 0.250
Sr: 0.500 0.500 0.500

## Properties
Polymorph energy (0 for the lowest one) (eV per formula unit): 0.00
Space group: Fm-3m
Theoretical density (g/cm³): 4.42
DOS(E_F) (states/eV per cell): 3.50


# 2
DFT (PBE) results for a geometry-optimized TaIr3 structure.

a = 5.379 Å, b = 5.379 Å, c = 4.581 Å
α = 90.00°, β = 90.00°, γ = 90.93°
Atoms (fractional coordinates):
Ir: 0.087 0.575 0.250
Ir: 0.922 0.078 0.250
Ir: 0.078 0.922 0.750
Ta: 0.408 0.592 0.750
Ir: 0.425 0.913 0.250
Ta: 0.592 0.408 0.250
Ir: 0.575 0.087 0.750
Ir: 0.913 0.425 0.750

## Properties
E_tot (hartree per atom): -0.3497
Space group: Cmcm
Theoretical density (g/cm³): 18.99
DOS(E_F) (states/eV per cell): 10.55


# 3
DFT (PBE) results for a geometry-optimized FeSn structure.

a = 4.076 Å, b = 4.076 Å, c = 5.098 Å
α = 90.00°, β = 90.00°, γ = 120.00°
Last column: magnetic moment on the atom in μB.
Atoms (fractional coordinates):
Sn: 0.333 0.667 0.250  -0.13
Fe: 0.000 0.000 0.500  1.98
Sn: 0.667 0.333 0.750  -0.13
Fe: 0.000 0.000 0.000  1.98

## Properties
E_tot (hartree per atom): -0.2223
Space group: P6_3/mmc
Theoretical density (g/cm³): 7.91
DOS(E_F) (states/eV per cell): 6.19


# 4
DFT (PBE) results for a geometry-optimized MnSiPH structure.

a = 2.903 Å, b = 3.058 Å, c = 4.733 Å
α = 90.00°, β = 90.00°, γ = 90.00°
Last column: magnetic moment on the atom in μB.
Atoms (fractional coordinates):
Si: 0.500 0.000 0.911  0.00
H: 0.000 0.500 0.706  -0.01
Mn: 0.000 0.000 0.523  0.61
P: 0.500 0.500 0.283  -0.01

## Properties
Polymorph energy (0 for the lowest one) (eV per formula unit): 0.48
Space group: Pmm2
Theoretical density (g/cm³): 4.55
DOS(E_F) (states/eV per cell): 2.03


# 5
DFT (PBE) results for a geometry-optimized Y2MgIr structure.

a = 8.251 Å, b = 8.251 Å, c = 8.251 Å
α = 37.21°, β = 156.45°, γ = 151.60°
Atoms (fractional coordinates):
Ir: 0.000 0.500 0.500
Mg: 0.000 0.000 0.000
Y: 0.000 0.669 0.669
Y: 0.000 0.331 0.331

## Properties
E_tot (hartree per atom): -0.2197
Space group: Immm
Theoretical density (g/cm³): 6.14
DOS(E_F) (states/eV per cell): 2.89